First-principles (PBE) data for a relaxed structure of Ti2SiBiC, as listed in Alexandria via LeMat-Bulk.

```
5
Lattice="4.972 0.000 0.000 0.000 3.603 0.000 0.000 0.000 4.972" Properties=species:S:1:pos:R:3 pbc="T T T"
Ti 2.486 0.000 0.000
Ti 0.000 0.000 2.486
Bi 2.486 1.802 2.486
Si 0.000 0.000 0.000
C 0.000 1.802 0.000
```

- Raw formation energy: 0.64 eV/atom
- Calculated volume: 17.811 Å³/atom
- Spin magnetization: 0.00 Bohr magnetons per cell
- Space group: P4/mmm, No. 123